[1]
This record from Alexandria via LeMat-Bulk describes an optimized crystal structure of NaCrHgO4. The functional is GGA+U.

a = 5.7743 Å, b = 5.5028 Å, c = 8.8584 Å
α = 90.00°, β = 117.98°, γ = 90.00°
Last column: nearest neighbours and their distance in Å.
Fractional coordinates of all 14 atoms:
Na1 0.8294 0.7500 0.5331  4 O 2.37-2.50
Na2 0.1706 0.2500 0.4669  4 O 2.37-2.50
Cr1 0.1483 0.7500 0.2897  4 O 1.66-1.68
Cr2 0.8517 0.2500 0.7103  4 O 1.66-1.68
Hg1 0.3926 0.7500 0.9862  3 O 2.42-2.47
Hg2 0.6074 0.2500 0.0138  3 O 2.42-2.47
O1 0.0237 0.4998 0.7999  1 Cr 1.66
O2 0.9763 0.9998 0.2001  1 Cr 1.66
O3 0.9763 0.5002 0.2001  1 Cr 1.66
O4 0.0237 0.0002 0.7999  1 Cr 1.66
O5 0.4290 0.7500 0.2759  1 Cr 1.68
O6 0.5710 0.2500 0.7241  1 Cr 1.68
O7 0.2159 0.7500 0.4939  1 Cr 1.66
O8 0.7841 0.2500 0.5061  1 Cr 1.66

Calculated values
For the total energy, the calculation gives -5.25 eV per atom. As for the space-group type: P2_1/m. Its total moment is 0.00 Bohr magnetons per cell.


[2]
This record from Alexandria via LeMat-Bulk describes an optimized crystal structure of Na2CrHg2O6. The functional is GGA+U.

a = 5.8591 Å, b = 5.8591 Å, c = 5.9265 Å
α = 90.24°, β = 90.24°, γ = 120.59°
Last column: nearest neighbours and their distance in Å.
Fractional coordinates of all 11 atoms:
Na1 0.3351 0.6649 0.5000  6 O 2.40-2.42
Na2 0.6649 0.3351 0.5000  6 O 2.40-2.42
Cr1 0.0000 0.0000 0.5000  2 O 1.71
Hg1 0.8487 0.1513 0.0000  2 O 2.03
Hg2 0.1513 0.8487 0.0000  2 O 2.03
O1 0.7548 0.7548 0.6574  1 Cr 1.71
O2 0.9992 0.2778 0.6871  1 Cr 1.97, 1 Hg 2.03
O3 0.2452 0.2452 0.3426  1 Cr 1.71
O4 0.2778 0.9992 0.6871  1 Cr 1.97, 1 Hg 2.03
O5 0.0008 0.7222 0.3129  1 Cr 1.97, 1 Hg 2.03
O6 0.7222 0.0008 0.3129  1 Cr 1.97, 1 Hg 2.03

Calculated values
For the total energy, the calculation gives -4.58 eV per atom. As for the space-group type: C2/m. Its total moment is 0.00 Bohr magnetons per cell.


[3]
This record from Alexandria via LeMat-Bulk describes an optimized crystal structure of Na2CrHgO4. The functional is GGA+U.

a = 5.8605 Å, b = 5.8605 Å, c = 5.8605 Å
α = 116.92°, β = 105.88°, γ = 105.88°
Last column: nearest neighbours and their distance in Å.
Fractional coordinates of all 8 atoms:
Na1 0.5000 0.7500 0.2500  4 O 2.35
Na2 0.0000 0.0000 0.0000  4 O 2.45
Cr1 0.0000 0.5000 0.5000  4 O 1.67
Hg1 0.5000 0.2500 0.7500  2 Na 3.07, 4 O 3.42
O1 0.7648 0.6099 0.4839  1 Cr 1.67
O2 0.8740 0.1548 0.3901  1 Cr 1.67
O3 0.1260 0.5161 0.2809  1 Cr 1.67
O4 0.2352 0.7191 0.8452  1 Cr 1.67

Calculated values
For the total energy, the calculation gives -5.09 eV per atom. For the density of states at the Fermi level, the calculation gives 0.00 states/eV per atom. As for the space-group type: I-4. Its total moment is 0.00 Bohr magnetons per cell.